No. 1
A plane-wave DFT calculation with PBE was carried out for Ho5Tl2In2 after structural relaxation.

Results
- Volume: 28.670 Å³/atom
- E: -4.004 eV/atom
- N(E_F): 0.6807 states/eV/atom
- ΔH_f (0 K): -0.326 eV/atom
- Crystal system: orthorhombic

abc: 15.923 8.267 7.840
angles: 90.00 90.00 90.00
Space group Cmce (No. 64)
Symmetry-distinct sites (fractional):
Ho: 0.000 0.000 0.000 (multiplicity 4)
Ho: 0.139 0.182 0.330 (multiplicity 16)
Tl: 0.000 0.130 0.630 (multiplicity 8)
In: 0.210 0.000 0.000 (multiplicity 8)

No. 2
A plane-wave DFT calculation with PBE was carried out for Ho4TlIn2 after structural relaxation.

Results
- Volume: 29.205 Å³/atom
- E: -3.908 eV/atom
- N(E_F): 0.8891 states/eV/atom
- ΔH_f (0 K): -0.172 eV/atom
- Crystal system: monoclinic

abc: 7.347 6.598 9.035
angles: 90.00 111.00 90.00
Space group P2_1/m (No. 11)
Symmetry-distinct sites (fractional):
Ho: 0.091 0.250 0.053 (multiplicity 2)
Ho: 0.160 0.005 0.725 (multiplicity 4)
Ho: 0.303 0.750 0.328 (multiplicity 2)
Tl: 0.488 0.750 0.697 (multiplicity 2)
In: 0.220 0.250 0.445 (multiplicity 2)
In: 0.443 0.750 0.037 (multiplicity 2)

No. 3
A plane-wave DFT calculation with PBE was carried out for Ho12Tl5In2 after structural relaxation.

Results
- Volume: 29.859 Å³/atom
- E: -3.904 eV/atom
- N(E_F): 1.0373 states/eV/atom
- ΔH_f (0 K): -0.102 eV/atom
- Crystal system: monoclinic

abc: 17.198 7.221 9.214
angles: 90.00 97.43 90.00
Space group C2/m (No. 12)
Symmetry-distinct sites (fractional):
Ho: 0.008 0.000 0.188 (multiplicity 4)
Ho: 0.042 0.500 0.699 (multiplicity 4)
Ho: 0.150 0.245 0.005 (multiplicity 8)
Ho: 0.162 0.259 0.411 (multiplicity 8)
Tl: 0.000 0.500 0.000 (multiplicity 2)
Tl: 0.194 0.000 0.730 (multiplicity 4)
Tl: 0.228 0.500 0.753 (multiplicity 4)
In: 0.000 0.186 0.500 (multiplicity 4)

No. 4
A plane-wave DFT calculation with PBE was carried out for Ho6Tl3In after structural relaxation.

Results
- Volume: 27.926 Å³/atom
- E: -4.009 eV/atom
- N(E_F): 1.0137 states/eV/atom
- ΔH_f (0 K): -0.279 eV/atom
- Crystal system: monoclinic

abc: 9.800 5.154 11.391
angles: 90.00 103.91 90.00
Space group P2_1/m (No. 11)
Symmetry-distinct sites (fractional):
Ho: 0.053 0.250 0.408 (multiplicity 2)
Ho: 0.151 0.750 0.180 (multiplicity 2)
Ho: 0.260 0.250 0.994 (multiplicity 2)
Ho: 0.337 0.750 0.810 (multiplicity 2)
Ho: 0.371 0.250 0.314 (multiplicity 2)
Ho: 0.393 0.250 0.614 (multiplicity 2)
Tl: 0.031 0.750 0.890 (multiplicity 2)
Tl: 0.120 0.250 0.707 (multiplicity 2)
Tl: 0.285 0.750 0.468 (multiplicity 2)
In: 0.444 0.750 0.116 (multiplicity 2)

No. 5
A plane-wave DFT calculation with PBE was carried out for Ho11Tl9In4 after structural relaxation.

Results
- Volume: 26.913 Å³/atom
- E: -3.763 eV/atom
- N(E_F): 0.7449 states/eV/atom
- ΔH_f (0 K): -0.321 eV/atom
- Crystal system: orthorhombic

abc: 17.095 21.113 3.579
angles: 90.00 90.00 90.00
Space group Cmmm (No. 65)
Symmetry-distinct sites (fractional):
Ho: 0.000 0.000 0.000 (multiplicity 2)
Ho: 0.000 0.185 0.000 (multiplicity 4)
Ho: 0.000 0.364 0.000 (multiplicity 4)
Ho: 0.230 0.000 0.000 (multiplicity 4)
Ho: 0.238 0.170 0.000 (multiplicity 8)
Tl: 0.000 0.500 0.500 (multiplicity 2)
Tl: 0.112 0.091 0.500 (multiplicity 8)
Tl: 0.122 0.267 0.500 (multiplicity 8)
In: 0.150 0.420 0.500 (multiplicity 8)

No. 6
A plane-wave DFT calculation with PBE was carried out for Ho4TlIn2 after structural relaxation.

Results
- Volume: 29.067 Å³/atom
- E: -3.993 eV/atom
- N(E_F): 1.1010 states/eV/atom
- ΔH_f (0 K): -0.257 eV/atom
- Crystal system: trigonal

abc: 5.2366 5.2366 25.7032
angles: 90.00 90.00 120.00
Space group R-3m (No. 166, hexagonal axes)
Symmetry-distinct sites (fractional):
Ho: 0.0000 0.0000 0.1194 (multiplicity 6)
Ho: 0.0000 0.0000 0.3719 (multiplicity 6)
Tl: 0.0000 0.0000 0.5000 (multiplicity 3)
In: 0.0000 0.0000 0.2516 (multiplicity 6)

No. 7
A plane-wave DFT calculation with PBE was carried out for Ho5TlIn6 after structural relaxation.

Results
- Volume: 26.223 Å³/atom
- E: -3.877 eV/atom
- N(E_F): 0.5734 states/eV/atom
- ΔH_f (0 K): -0.403 eV/atom
- Crystal system: orthorhombic

abc: 4.792 9.061 14.495
angles: 90.00 90.00 90.00
Space group Immm (No. 71)
Symmetry-distinct sites (fractional):
Ho: 0.000 0.000 0.000 (multiplicity 2)
Ho: 0.000 0.000 0.355 (multiplicity 4)
Ho: 0.000 0.500 0.327 (multiplicity 4)
Tl: 0.000 0.500 0.000 (multiplicity 2)
In: 0.000 0.242 0.172 (multiplicity 8)
In: 0.000 0.268 0.500 (multiplicity 4)

No. 8
A plane-wave DFT calculation with PBE was carried out for Ho6Tl3In after structural relaxation.

Results
- Volume: 29.294 Å³/atom
- E: -3.913 eV/atom
- N(E_F): 1.0830 states/eV/atom
- ΔH_f (0 K): -0.183 eV/atom
- Crystal system: monoclinic

abc: 11.762 3.658 14.084
angles: 90.00 104.78 90.00
Space group P2_1/m (No. 11)
Symmetry-distinct sites (fractional):
Ho: 0.009 0.250 0.181 (multiplicity 2)
Ho: 0.113 0.750 0.408 (multiplicity 2)
Ho: 0.236 0.250 0.826 (multiplicity 2)
Ho: 0.313 0.250 0.255 (multiplicity 2)
Ho: 0.358 0.250 0.623 (multiplicity 2)
Ho: 0.375 0.750 0.035 (multiplicity 2)
Tl: 0.118 0.750 0.635 (multiplicity 2)
Tl: 0.142 0.250 0.015 (multiplicity 2)
Tl: 0.389 0.750 0.445 (multiplicity 2)
In: 0.454 0.750 0.817 (multiplicity 2)

No. 9
A plane-wave DFT calculation with PBE was carried out for Ho2TlIn after structural relaxation.

Results
- Volume: 28.561 Å³/atom
- E: -3.856 eV/atom
- N(E_F): 0.5113 states/eV/atom
- ΔH_f (0 K): -0.291 eV/atom
- Crystal system: trigonal

abc: 3.6977 3.6977 28.9444
angles: 90.00 90.00 120.00
Space group R-3m (No. 166, hexagonal axes)
Symmetry-distinct sites (fractional):
Ho: 0.0000 0.0000 0.2504 (multiplicity 6)
Tl: 0.0000 0.0000 0.5000 (multiplicity 3)
In: 0.0000 0.0000 0.0000 (multiplicity 3)

No. 10
A plane-wave DFT calculation with PBE was carried out for Ho15TlIn4 after structural relaxation.

Results
- Volume: 28.002 Å³/atom
- E: -4.343 eV/atom
- N(E_F): 1.3537 states/eV/atom
- ΔH_f (0 K): -0.244 eV/atom
- Crystal system: tetragonal

abc: 4.814 4.814 24.167
angles: 90.00 90.00 90.00
Space group P4/mmm (No. 123)
Symmetry-distinct sites (fractional):
Ho: 0.000 0.000 0.000 (multiplicity 1)
Ho: 0.000 0.000 0.200 (multiplicity 2)
Ho: 0.000 0.000 0.400 (multiplicity 2)
Ho: 0.000 0.500 0.101 (multiplicity 4)
Ho: 0.000 0.500 0.300 (multiplicity 4)
Ho: 0.000 0.500 0.500 (multiplicity 2)
Tl: 0.500 0.500 0.000 (multiplicity 1)
In: 0.500 0.500 0.200 (multiplicity 2)
In: 0.500 0.500 0.400 (multiplicity 2)

No. 11
A plane-wave DFT calculation with PBE was carried out for Ho4Tl3In after structural relaxation.

Results
- Volume: 28.335 Å³/atom
- E: -3.844 eV/atom
- N(E_F): 0.8364 states/eV/atom
- ΔH_f (0 K): -0.325 eV/atom
- Crystal system: orthorhombic

abc: 4.312 4.584 11.468
angles: 90.00 90.00 90.00
Space group Pmm2 (No. 25)
Symmetry-distinct sites (fractional):
Ho: 0.000 0.000 0.000 (multiplicity 1)
Ho: 0.000 0.500 0.497 (multiplicity 1)
Ho: 0.500 0.000 0.731 (multiplicity 1)
Ho: 0.500 0.500 0.230 (multiplicity 1)
Tl: 0.000 0.500 0.769 (multiplicity 1)
Tl: 0.500 0.000 0.457 (multiplicity 1)
Tl: 0.500 0.500 0.958 (multiplicity 1)
In: 0.000 0.000 0.275 (multiplicity 1)

No. 12
A plane-wave DFT calculation with PBE was carried out for Ho12Tl3In after structural relaxation.

Results
- Volume: 28.109 Å³/atom
- E: -4.244 eV/atom
- N(E_F): 1.3587 states/eV/atom
- ΔH_f (0 K): -0.195 eV/atom
- Crystal system: tetragonal

abc: 4.824 4.824 19.325
angles: 90.00 90.00 90.00
Space group P4/mmm (No. 123)
Symmetry-distinct sites (fractional):
Ho: 0.000 0.000 0.000 (multiplicity 1)
Ho: 0.000 0.000 0.250 (multiplicity 2)
Ho: 0.000 0.000 0.500 (multiplicity 1)
Ho: 0.000 0.500 0.124 (multiplicity 4)
Ho: 0.000 0.500 0.375 (multiplicity 4)
Tl: 0.500 0.500 0.250 (multiplicity 2)
Tl: 0.500 0.500 0.500 (multiplicity 1)
In: 0.500 0.500 0.000 (multiplicity 1)

Question: Among the records above, which one has the highest N(E_F)?
Answer: Ho12Tl3In

Question: E of number 9 (Ho2TlIn)?
Answer: -3.856 eV/atom